Below is a geometry-optimized K2ErTiS4 structure, with properties calculated at the GGA-PBE level.

extended XYZ file:
```
16
Lattice="7.183 0.000 0.000 0.000 7.183 0.000 0.000 0.000 9.388" Properties=species:S:1:pos:R:3 pbc="T T T"
K 0.000 0.000 0.000
K 0.000 3.592 2.347
K 3.592 0.000 7.041
K 3.592 3.592 4.694
Er 0.000 3.592 7.041
Er 3.592 0.000 2.347
Ti 0.000 0.000 4.694
Ti 3.592 3.592 0.000
S 1.226 1.714 5.766
S 1.714 5.957 3.622
S 1.877 4.818 8.316
S 2.365 1.877 1.072
S 4.818 5.306 1.072
S 5.306 2.365 8.316
S 5.469 1.226 3.622
S 5.957 5.469 5.766
```

The total energy is -85.0 eV for the cell shown. For the uncorrected formation energy, the calculation gives -1.414 eV per atom. The density is 2.9 Mg/m³. Its density of states at the Fermi level is 9.6 states/eV/cell.